[1]
## CaSnS3 (PBE-GGA)

Data for a relaxed structure of CaSnS3.

Uncorrected formation energy in meV per atom: -984.3
Final energy in eV per atom: -4.66
E above lowest polymorph in eV per atom: 0.0415

a = 4.1430 Å, b = 9.3284 Å, c = 6.5183 Å
α = 90.00°, β = 90.20°, γ = 90.00°
With the nearest neighbours (Å) after each atom.
Sites, in units of the cell vectors:
1 Ca 0.0052 0.0000 0.4632  6 S 2.81-3.07
2 Ca 0.9948 0.5000 0.5368  6 S 2.81-3.07
3 Sn 0.4970 0.7277 0.9996  5 S 2.42-2.60
4 Sn 0.5030 0.2277 0.0004  5 S 2.42-2.60
5 S 0.0032 0.2791 0.2145  2 Sn 2.54-2.55
6 S 0.4937 0.6613 0.3591  1 Sn 2.42
7 S 0.4972 0.4806 0.8324  2 Sn 2.55-2.60, 2 Ca 2.83-2.84
8 S 0.5028 0.9806 0.1676  2 Sn 2.55-2.60, 2 Ca 2.83-2.84
9 S 0.5063 0.1613 0.6409  1 Sn 2.42
10 S 0.9968 0.7791 0.7855  2 Sn 2.54-2.55



[2]
## CaSnS3 (PBE-GGA)

Data for a relaxed structure of CaSnS3.

Uncorrected formation energy in meV per atom: -992.0
Final energy in eV per atom: -4.67
E above lowest polymorph in eV per atom: 0.0338

a = 9.1669 Å, b = 9.4908 Å, c = 10.2127 Å
α = 103.09°, β = 93.80°, γ = 91.37°
With the nearest neighbours (Å) after each atom.
Sites, in units of the cell vectors:
1 Ca 0.0317 0.2699 0.0368  7 S 2.90-3.10
2 Ca 0.2504 0.9331 0.7201  5 S 2.81-2.98
3 Ca 0.2768 0.4212 0.7146  6 S 2.83-3.07
4 Ca 0.7232 0.5788 0.2854  6 S 2.83-3.07
5 Ca 0.7496 0.0669 0.2799  5 S 2.81-2.98
6 Ca 0.9683 0.7301 0.9632  7 S 2.90-3.10
7 Sn 0.1929 0.5785 0.3484  4 S 2.37-2.47
8 Sn 0.2221 0.1200 0.3216  4 S 2.35-2.49
9 Sn 0.4408 0.7867 0.1064  4 S 2.38-2.47
10 Sn 0.5592 0.2133 0.8936  4 S 2.38-2.47
11 Sn 0.7779 0.8800 0.6784  4 S 2.35-2.49
12 Sn 0.8071 0.4215 0.6516  4 S 2.37-2.47
13 S 0.9996 0.4229 0.8211  1 Sn 2.39
14 S 0.0004 0.5771 0.1789  1 Sn 2.39
15 S 0.0196 0.0222 0.1646  1 Sn 2.39
16 S 0.1697 0.6417 0.5842  1 Sn 2.37
17 S 0.2095 0.1359 0.5533  1 Sn 2.35
18 S 0.2773 0.7082 0.9111  1 Sn 2.38
19 S 0.2904 0.3440 0.2549  2 Sn 2.43-2.45
20 S 0.2980 0.2317 0.8922  1 Sn 2.40
21 S 0.4207 0.7094 0.3204  2 Sn 2.47
22 S 0.4423 0.0476 0.1955  2 Sn 2.44-2.49
23 S 0.5577 0.9524 0.8045  2 Sn 2.44-2.49
24 S 0.5793 0.2906 0.6796  2 Sn 2.47
25 S 0.7020 0.7683 0.1078  1 Sn 2.40
26 S 0.7096 0.6560 0.7451  2 Sn 2.43-2.45
27 S 0.7227 0.2918 0.0889  1 Sn 2.38
28 S 0.7905 0.8641 0.4467  1 Sn 2.35
29 S 0.8303 0.3583 0.4158  1 Sn 2.37
30 S 0.9804 0.9778 0.8354  1 Sn 2.39



[3]
## CaSnS3 (PBE-GGA)

Data for a relaxed structure of CaSnS3.

Uncorrected formation energy in meV per atom: -966.4
Final energy in eV per atom: -4.64
E above lowest polymorph in eV per atom: 0.0594

a = 9.4109 Å, b = 7.3183 Å, c = 7.0129 Å
α = 90.00°, β = 90.00°, γ = 90.00°
With the nearest neighbours (Å) after each atom.
Sites, in units of the cell vectors:
1 Ca 0.0000 0.1581 0.0000  4 S 2.76-2.89
2 Ca 0.0000 0.8419 0.5000  4 S 2.76-2.89
3 Ca 0.5000 0.1935 0.1101  8 S 2.88-3.11
4 Ca 0.5000 0.8065 0.6101  8 S 2.88-3.11
5 Sn 0.2562 0.3321 0.5845  5 S 2.43-2.62
6 Sn 0.2562 0.6679 0.0845  5 S 2.43-2.62
7 Sn 0.7438 0.3321 0.5845  5 S 2.43-2.62
8 Sn 0.7438 0.6679 0.0845  5 S 2.43-2.62
9 S 0.0000 0.2038 0.6086  2 Sn 2.59, 2 Ca 2.76-2.77
10 S 0.0000 0.7962 0.1086  2 Sn 2.59, 2 Ca 2.76-2.77
11 S 0.2071 0.3619 0.2178  2 Sn 2.47-2.62
12 S 0.2071 0.6381 0.7178  2 Sn 2.47-2.62
13 S 0.3031 0.0881 0.8117  1 Sn 2.43
14 S 0.3031 0.9119 0.3117  1 Sn 2.43
15 S 0.5000 0.4112 0.4529  2 Sn 2.54
16 S 0.5000 0.5888 0.9529  2 Sn 2.54
17 S 0.6969 0.0881 0.8117  1 Sn 2.43
18 S 0.6969 0.9119 0.3117  1 Sn 2.43
19 S 0.7929 0.3619 0.2178  2 Sn 2.47-2.62
20 S 0.7929 0.6381 0.7178  2 Sn 2.47-2.62



[4]
## Ca3SnS (PBE-GGA)

Data for a relaxed structure of Ca3SnS.

Uncorrected formation energy in meV per atom: -1109.9
Final energy in eV per atom: -3.94
E above lowest polymorph in eV per atom: 0.0000

a = 5.3086 Å, b = 5.3086 Å, c = 5.3086 Å
α = 90.00°, β = 90.00°, γ = 90.00°
With the nearest neighbours (Å) after each atom.
Sites, in units of the cell vectors:
1 Ca 0.0000 0.0000 0.5000  2 S 2.65
2 Ca 0.0000 0.5000 0.0000  2 S 2.65
3 Ca 0.5000 0.0000 0.0000  2 S 2.65
4 Sn 0.5000 0.5000 0.5000  12 Ca 3.75
5 S 0.0000 0.0000 0.0000  6 Ca 2.65



[5]
## Ca3Sn2S7 (PBE-GGA)

Data for a relaxed structure of Ca3Sn2S7.

Uncorrected formation energy in meV per atom: -1186.7
Final energy in eV per atom: -4.76
E above lowest polymorph in eV per atom: 0.0000

a = 11.3434 Å, b = 12.5527 Å, c = 3.8779 Å
α = 90.00°, β = 90.00°, γ = 90.00°
With the nearest neighbours (Å) after each atom.
Sites, in units of the cell vectors:
1 Ca 0.0000 0.0000 0.0000  8 S 3.09-3.16
2 Ca 0.1129 0.3472 0.0000  7 S 2.91-3.01
3 Ca 0.3871 0.8472 0.0000  7 S 2.91-3.01
4 Ca 0.5000 0.5000 0.0000  8 S 3.09-3.16
5 Ca 0.6129 0.1528 0.0000  7 S 2.91-3.01
6 Ca 0.8871 0.6528 0.0000  7 S 2.91-3.01
7 Sn 0.2149 0.6059 0.5000  4 S 2.41-2.49
8 Sn 0.2851 0.1059 0.5000  4 S 2.41-2.49
9 Sn 0.7149 0.8941 0.5000  4 S 2.41-2.49
10 Sn 0.7851 0.3941 0.5000  4 S 2.41-2.49
11 S 0.0000 0.5000 0.5000  2 Sn 2.78, 4 Ca 3.01
12 S 0.0802 0.1771 0.5000  1 Sn 2.49
13 S 0.1430 0.7100 0.0000  2 Sn 2.48
14 S 0.2050 0.9285 0.5000  1 Sn 2.41
15 S 0.2950 0.4285 0.5000  1 Sn 2.41
16 S 0.3570 0.2100 0.0000  2 Sn 2.48
17 S 0.4198 0.6771 0.5000  1 Sn 2.49
18 S 0.5000 0.0000 0.5000  2 Sn 2.78, 4 Ca 3.01
19 S 0.5802 0.3229 0.5000  1 Sn 2.49
20 S 0.6430 0.7900 0.0000  2 Sn 2.48
21 S 0.7050 0.5715 0.5000  1 Sn 2.41
22 S 0.7950 0.0715 0.5000  1 Sn 2.41
23 S 0.8570 0.2900 0.0000  2 Sn 2.48
24 S 0.9198 0.8229 0.5000  1 Sn 2.49



[6]
## CaSnS3 (PBE-GGA)

Data for a relaxed structure of CaSnS3.

Uncorrected formation energy in meV per atom: -981.1
Final energy in eV per atom: -4.66
E above lowest polymorph in eV per atom: 0.0447

a = 5.7189 Å, b = 6.5318 Å, c = 14.2695 Å
α = 90.00°, β = 90.00°, γ = 90.00°
With the nearest neighbours (Å) after each atom.
Sites, in units of the cell vectors:
1 Ca 0.1580 0.1621 0.1198  5 S 2.79-3.07
2 Ca 0.3420 0.8379 0.6198  5 S 2.79-3.07
3 Ca 0.6580 0.3379 0.8802  5 S 2.79-3.07
4 Ca 0.8420 0.6621 0.3802  5 S 2.79-3.07
5 Sn 0.1766 0.8295 0.9083  4 S 2.36-2.50
6 Sn 0.3234 0.1705 0.4083  4 S 2.36-2.50
7 Sn 0.6766 0.6705 0.0917  4 S 2.36-2.50
8 Sn 0.8234 0.3295 0.5917  4 S 2.36-2.50
9 S 0.1908 0.1933 0.9169  1 Sn 2.38
10 S 0.2075 0.3886 0.2846  1 Sn 2.36
11 S 0.2468 0.7226 0.0733  2 Sn 2.49-2.50
12 S 0.2532 0.2774 0.5733  2 Sn 2.49-2.50
13 S 0.2925 0.6114 0.7846  1 Sn 2.36
14 S 0.3092 0.8067 0.4169  1 Sn 2.38
15 S 0.6908 0.3067 0.0831  1 Sn 2.38
16 S 0.7075 0.1114 0.7154  1 Sn 2.36
17 S 0.7468 0.7774 0.9267  2 Sn 2.49-2.50
18 S 0.7532 0.2226 0.4267  2 Sn 2.49-2.50
19 S 0.7925 0.8886 0.2154  1 Sn 2.36
20 S 0.8092 0.6933 0.5831  1 Sn 2.38



[7]
## CaSnS3 (PBE-GGA)

Data for a relaxed structure of CaSnS3.

Uncorrected formation energy in meV per atom: -868.2
Final energy in eV per atom: -4.55
E above lowest polymorph in eV per atom: 0.1576

a = 4.4741 Å, b = 4.4741 Å, c = 7.7197 Å
α = 90.00°, β = 90.00°, γ = 120.00°
With the nearest neighbours (Å) after each atom.
Sites, in units of the cell vectors:
1 Ca 0.0000 0.0000 0.0000  6 S 2.93
2 Sn 0.6667 0.3333 0.5000  5 S 2.49-2.58
3 S 0.0000 0.0000 0.5000  3 Sn 2.58
4 S 0.6667 0.3333 0.1780  1 Sn 2.49, 1 S 2.75
5 S 0.6667 0.3333 0.8220  1 Sn 2.49, 1 S 2.75



[8]
## CaSn2S4 (PBE-GGA)

Data for a relaxed structure of CaSn2S4.

Uncorrected formation energy in meV per atom: -828.1
Final energy in eV per atom: -4.62
E above lowest polymorph in eV per atom: 0.0458

a = 6.6334 Å, b = 6.6334 Å, c = 13.3371 Å
α = 90.00°, β = 90.00°, γ = 145.99°
With the nearest neighbours (Å) after each atom.
Sites, in units of the cell vectors:
1 Ca 0.1132 0.8868 0.7500  6 S 2.79-3.01
2 Ca 0.8868 0.1132 0.2500  6 S 2.79-3.01
3 Sn 0.3689 0.6311 0.5707  6 S 2.63-2.78
4 Sn 0.3689 0.6311 0.9293  6 S 2.63-2.78
5 Sn 0.6311 0.3689 0.0707  6 S 2.63-2.78
6 Sn 0.6311 0.3689 0.4293  6 S 2.63-2.78
7 S 0.0000 0.0000 0.0000  4 Sn 2.72
8 S 0.0000 0.0000 0.5000  4 Sn 2.72
9 S 0.2720 0.7280 0.1161  3 Sn 2.71-2.78, 2 Ca 3.01
10 S 0.2720 0.7280 0.3839  3 Sn 2.71-2.78, 2 Ca 3.01
11 S 0.4556 0.5444 0.7500  2 Sn 2.63, 2 Ca 2.79
12 S 0.5444 0.4556 0.2500  2 Sn 2.63, 2 Ca 2.79
13 S 0.7280 0.2720 0.6161  3 Sn 2.71-2.78, 2 Ca 3.01
14 S 0.7280 0.2720 0.8839  3 Sn 2.71-2.78, 2 Ca 3.01



> Among the records above, which one has the highest uncorrected formation energy?

CaSn2S4



> Which value of uncorrected formation energy does entry 8 give?

-828.1 meV per atom



> Number 6 is which compound?

CaSnS3



What did the first record say?
## CaSnS3 (PBE-GGA)

Data for a relaxed structure of CaSnS3.

Uncorrected formation energy in meV per atom: -984.3
Final energy in eV per atom: -4.66
E above lowest polymorph in eV per atom: 0.0415

a = 4.1430 Å, b = 9.3284 Å, c = 6.5183 Å
α = 90.00°, β = 90.20°, γ = 90.00°
With the nearest neighbours (Å) after each atom.
Sites, in units of the cell vectors:
1 Ca 0.0052 0.0000 0.4632  6 S 2.81-3.07
2 Ca 0.9948 0.5000 0.5368  6 S 2.81-3.07
3 Sn 0.4970 0.7277 0.9996  5 S 2.42-2.60
4 Sn 0.5030 0.2277 0.0004  5 S 2.42-2.60
5 S 0.0032 0.2791 0.2145  2 Sn 2.54-2.55
6 S 0.4937 0.6613 0.3591  1 Sn 2.42
7 S 0.4972 0.4806 0.8324  2 Sn 2.55-2.60, 2 Ca 2.83-2.84
8 S 0.5028 0.9806 0.1676  2 Sn 2.55-2.60, 2 Ca 2.83-2.84
9 S 0.5063 0.1613 0.6409  1 Sn 2.42
10 S 0.9968 0.7791 0.7855  2 Sn 2.54-2.55